*A*
First-principles (PBE) data for RePdI3 after structural relaxation, as listed in Alexandria via LeMat-Bulk.

Results
size of the total moment	3.4	μB/cell

Cell: 5.4974 5.4974 5.4974 Å, 90.00 90.00 90.00°
Last column: nearest neighbours and their distance in Å.
Sites, in units of the cell vectors:
I 0.5000 0.0000 0.0000  2 Re 2.75
I 0.0000 0.5000 0.0000  2 Re 2.75
I 0.0000 0.0000 0.5000  2 Re 2.75
Re 0.0000 0.0000 0.0000  6 I 2.75
Pd 0.5000 0.5000 0.5000  12 I 3.89


*B*
First-principles (PBE) data for RePdI3 after structural relaxation, as listed in Alexandria via LeMat-Bulk.

Results
size of the total moment	5.9	μB/cell

Cell: 5.5154 5.5154 5.5154 Å, 90.00 90.00 90.00°
Last column: nearest neighbours and their distance in Å.
Sites, in units of the cell vectors:
Re 0.5000 0.5000 0.5000  12 I 3.90
I 0.0000 0.0000 0.5000  2 Pd 2.76
Pd 0.0000 0.0000 0.0000  6 I 2.76
I 0.0000 0.5000 0.0000  2 Pd 2.76
I 0.5000 0.0000 0.0000  2 Pd 2.76


Which structure is most stable? *A*, by 150 meV per atom over the runner-up.


*A*
First-principles (PBE) data for RePd3I after structural relaxation, as listed in Alexandria via LeMat-Bulk.

Results
size of the total moment	4.7	μB/cell

Cell: 4.9326 4.9326 4.9326 Å, 90.00 90.00 90.00°
Last column: nearest neighbours and their distance in Å.
Sites, in units of the cell vectors:
Re 0.5000 0.5000 0.5000  12 Pd 3.49
I 0.0000 0.0000 0.0000  6 Pd 2.47
Pd 0.0000 0.5000 0.0000  2 I 2.47
Pd 0.5000 0.0000 0.0000  2 I 2.47
Pd 0.0000 0.0000 0.5000  2 I 2.47


*B*
First-principles (PBE) data for RePd3I after structural relaxation, as listed in Alexandria via LeMat-Bulk.

Results
size of the total moment	0.0	μB/cell

Cell: 4.8962 4.8962 4.8962 Å, 90.00 90.00 90.00°
Last column: nearest neighbours and their distance in Å.
Sites, in units of the cell vectors:
Pd 0.5000 0.0000 0.0000  2 Re 2.45
Pd 0.0000 0.5000 0.0000  2 Re 2.45
Pd 0.0000 0.0000 0.5000  2 Re 2.45
Re 0.0000 0.0000 0.0000  6 Pd 2.45
I 0.5000 0.5000 0.5000  12 Pd 3.46


Which structure is most stable? *B*, by 416 meV per atom over the runner-up.


*A*
First-principles (PBE) data for RePd2I after structural relaxation, as listed in Alexandria via LeMat-Bulk.

Results
size of the total moment	0.0	μB/cell

Cell: 6.5555 6.5555 6.5705 Å, 60.08 60.08 90.00°
Last column: nearest neighbours and their distance in Å.
Sites, in units of the cell vectors:
Pd 0.0842 0.6250 0.2500  2 Re 2.43
Pd 0.6658 0.1250 0.2500  2 Re 2.43
Re 0.0000 0.0000 0.0000  4 Pd 2.43
Re 0.7500 0.2500 0.5000  4 Pd 2.43
Pd 0.3750 0.3342 0.7500  2 Re 2.43
I 0.2500 0.7500 0.5000  4 Pd 2.77
I 0.5000 0.5000 0.0000  4 Pd 2.77
Pd 0.8750 0.9158 0.7500  2 Re 2.43


*B*
First-principles (PBE) data for RePd2I after structural relaxation, as listed in Alexandria via LeMat-Bulk.

Results
size of the total moment	2.4	μB/cell

Cell: 4.6981 4.6981 4.6981 Å, 60.00 60.00 60.00°
Last column: nearest neighbours and their distance in Å.
Sites, in units of the cell vectors:
Pd 0.7500 0.7500 0.7500  4 Re 2.88, 4 I 2.88
Re 0.5000 0.5000 0.5000  8 Pd 2.88
Pd 0.2500 0.2500 0.2500  4 Re 2.88, 4 I 2.88
I 0.0000 0.0000 0.0000  8 Pd 2.88


Which structure is most stable? *A*, by 16 meV per atom over the runner-up.


*A*
First-principles (PBE) data for ReTe2PdI after structural relaxation, as listed in Alexandria via LeMat-Bulk.

Results
size of the total moment	4.5	μB/cell

Cell: 5.3202 5.3202 5.3410 Å, 90.00 90.00 90.00°
Last column: nearest neighbours and their distance in Å.
Sites, in units of the cell vectors:
Re 0.5000 0.5000 0.5000  4 I 3.76, 8 Te 3.77
Te 0.5000 0.0000 0.0000  2 Pd 2.66
Pd 0.0000 0.0000 0.0000  4 Te 2.66, 2 I 2.67
I 0.0000 0.0000 0.5000  2 Pd 2.67
Te 0.0000 0.5000 0.0000  2 Pd 2.66


*B*
First-principles (PBE) data for ReTe2PdI after structural relaxation, as listed in Alexandria via LeMat-Bulk.

Results
size of the total moment	0.0	μB/cell

Cell: 5.0971 5.0971 5.8490 Å, 90.00 90.00 90.00°
Last column: nearest neighbours and their distance in Å.
Sites, in units of the cell vectors:
I 0.0000 0.0000 0.5000  2 Re 2.92
Te 0.5000 0.0000 0.0000  2 Re 2.55
Te 0.0000 0.5000 0.0000  2 Re 2.55
Re 0.0000 0.0000 0.0000  4 Te 2.55
Pd 0.5000 0.5000 0.5000  4 I 3.60, 8 Te 3.88


Which structure is most stable? *B*, by 378 meV per atom over the runner-up.


*A*
First-principles (PBE) data for ReTePdI2 after structural relaxation, as listed in Alexandria via LeMat-Bulk.

Results
size of the total moment	4.9	μB/cell

Cell: 5.3819 5.3819 5.4820 Å, 90.00 90.00 90.00°
Last column: nearest neighbours and their distance in Å.
Sites, in units of the cell vectors:
I 0.5000 0.0000 0.0000  2 Pd 2.69
I 0.0000 0.5000 0.0000  2 Pd 2.69
Pd 0.0000 0.0000 0.0000  4 I 2.69, 2 Te 2.74
Re 0.5000 0.5000 0.5000  4 Te 3.81, 8 I 3.84
Te 0.0000 0.0000 0.5000  2 Pd 2.74


*B*
First-principles (PBE) data for ReTePdI2 after structural relaxation, as listed in Alexandria via LeMat-Bulk.

Results
size of the total moment	1.1	μB/cell

Cell: 5.6063 5.6063 5.0438 Å, 90.00 90.00 90.00°
Last column: nearest neighbours and their distance in Å.
Sites, in units of the cell vectors:
I 0.0000 0.5000 0.0000  2 Re 2.80
Te 0.0000 0.0000 0.5000  2 Re 2.52
Re 0.0000 0.0000 0.0000  2 Te 2.52, 4 I 2.80
I 0.5000 0.0000 0.0000  2 Re 2.80
Pd 0.5000 0.5000 0.5000  8 I 3.77, 4 Te 3.96


Which structure is most stable? *B*, by 276 meV per atom over the runner-up.


*A*
First-principles (PBE) data for PdRhI2 after structural relaxation, as listed in Alexandria via LeMat-Bulk.

Results
size of the total moment	0.0	μB/cell

Cell: 4.9420 4.9420 4.9420 Å, 60.00 60.00 60.00°
Last column: nearest neighbours and their distance in Å.
Sites, in units of the cell vectors:
I 0.7500 0.7500 0.7500  4 Pd 3.03, 4 Rh 3.03
Rh 0.0000 0.0000 0.0000  8 I 3.03
I 0.2500 0.2500 0.2500  4 Pd 3.03, 4 Rh 3.03
Pd 0.5000 0.5000 0.5000  8 I 3.03


*B*
First-principles (PBE) data for PdRhI2 after structural relaxation, as listed in Alexandria via LeMat-Bulk.

Results
size of the total moment	0.0	μB/cell

Cell: 6.1736 6.1736 7.4078 Å, 65.37 65.37 90.00°
Last column: nearest neighbours and their distance in Å.
Sites, in units of the cell vectors:
I 0.8750 0.8626 0.7500  2 Rh 2.60, 2 Pd 2.69
Rh 0.2500 0.7500 0.5000  4 I 2.60
I 0.3750 0.3874 0.7500  2 Rh 2.60, 2 Pd 2.69
Pd 0.0000 0.0000 0.0000  4 I 2.69
I 0.1374 0.6250 0.2500  2 Rh 2.60, 2 Pd 2.69
I 0.6126 0.1250 0.2500  2 Rh 2.60, 2 Pd 2.69
Rh 0.5000 0.5000 0.0000  4 I 2.60
Pd 0.7500 0.2500 0.5000  4 I 2.69


Which structure is most stable? *B*, by 299 meV per atom over the runner-up.


*A*
First-principles (PBE) data for Pd2RhI after structural relaxation, as listed in Alexandria via LeMat-Bulk.

Results
size of the total moment	0.0	μB/cell

Cell: 7.4406 7.4406 5.9074 Å, 50.97 50.97 90.00°
Last column: nearest neighbours and their distance in Å.
Sites, in units of the cell vectors:
Pd 0.1252 0.6250 0.2500  2 Pd 2.69, 2 Rh 2.71, 2 I 2.72
I 0.0000 0.0000 0.0000  2 Rh 2.69, 4 Pd 2.72
Pd 0.6248 0.1250 0.2500  2 Pd 2.69, 2 Rh 2.71, 2 I 2.72
Pd 0.3750 0.3752 0.7500  2 Pd 2.69, 2 Rh 2.71, 2 I 2.72
Rh 0.2500 0.7500 0.5000  2 I 2.69, 4 Pd 2.71
I 0.7500 0.2500 0.5000  2 Rh 2.69, 4 Pd 2.72
Pd 0.8750 0.8748 0.7500  2 Pd 2.69, 2 Rh 2.71, 2 I 2.72
Rh 0.5000 0.5000 0.0000  2 I 2.69, 4 Pd 2.71


*B*
First-principles (PBE) data for Pd2RhI after structural relaxation, as listed in Alexandria via LeMat-Bulk.

Results
size of the total moment	0.0	μB/cell

Cell: 4.6230 4.6230 4.6230 Å, 60.00 60.00 60.00°
Last column: nearest neighbours and their distance in Å.
Sites, in units of the cell vectors:
I 0.5000 0.5000 0.5000  8 Pd 2.83
Pd 0.7500 0.7500 0.7500  4 I 2.83, 4 Rh 2.83
Pd 0.2500 0.2500 0.2500  4 I 2.83, 4 Rh 2.83
Rh 0.0000 0.0000 0.0000  8 Pd 2.83


Which structure is most stable? *A*, by 21 meV per atom over the runner-up.


*A*
First-principles (PBE) data for TaPdRh2I after structural relaxation, as listed in Alexandria via LeMat-Bulk.

Results
size of the total moment	0.0	μB/cell

Cell: 4.7876 4.9959 4.7876 Å, 90.00 90.00 90.00°
Last column: nearest neighbours and their distance in Å.
Sites, in units of the cell vectors:
Rh 0.5000 0.0000 0.0000  2 Ta 2.39
Rh 0.0000 0.0000 0.5000  2 Ta 2.39
I 0.5000 0.5000 0.5000  4 Pd 3.39, 8 Rh 3.46
Pd 0.0000 0.5000 0.0000  2 Ta 2.50
Ta 0.0000 0.0000 0.0000  4 Rh 2.39, 2 Pd 2.50


*B*
First-principles (PBE) data for TaPdRh2I after structural relaxation, as listed in Alexandria via LeMat-Bulk.

Results
size of the total moment	1.8	μB/cell

Cell: 4.7857 4.8102 4.7857 Å, 90.00 90.00 90.00°
Last column: nearest neighbours and their distance in Å.
Sites, in units of the cell vectors:
Ta 0.5000 0.5000 0.5000  4 Pd 3.38, 8 Rh 3.39
Rh 0.0000 0.0000 0.5000  2 I 2.39
Rh 0.5000 0.0000 0.0000  2 I 2.39
I 0.0000 0.0000 0.0000  4 Rh 2.39, 2 Pd 2.41
Pd 0.0000 0.5000 0.0000  2 I 2.41


Which structure is most stable? *A*, by 568 meV per atom over the runner-up.


*A*
First-principles (PBE) data for PdRu2I after structural relaxation, as listed in Alexandria via LeMat-Bulk.

Results
size of the total moment	0.0	μB/cell

Cell: 4.5167 4.5167 4.5167 Å, 60.00 60.00 60.00°
Last column: nearest neighbours and their distance in Å.
Sites, in units of the cell vectors:
I 0.5000 0.5000 0.5000  8 Ru 2.77
Pd 0.0000 0.0000 0.0000  8 Ru 2.77
Ru 0.2500 0.2500 0.2500  4 I 2.77, 4 Pd 2.77
Ru 0.7500 0.7500 0.7500  4 I 2.77, 4 Pd 2.77


*B*
First-principles (PBE) data for PdRu2I after structural relaxation, as listed in Alexandria via LeMat-Bulk.

Results
size of the total moment	0.0	μB/cell

Cell: 5.4124 5.4124 7.4734 Å, 68.77 68.77 90.00°
Last column: nearest neighbours and their distance in Å.
Sites, in units of the cell vectors:
I 0.0000 0.0000 0.0000  4 Ru 2.52
Ru 0.6169 0.1250 0.2500  2 Pd 2.47, 2 I 2.52
Pd 0.5000 0.5000 0.0000  4 Ru 2.47
Pd 0.2500 0.7500 0.5000  4 Ru 2.47
I 0.7500 0.2500 0.5000  4 Ru 2.52
Ru 0.3750 0.3831 0.7500  2 Pd 2.47, 2 I 2.52
Ru 0.1331 0.6250 0.2500  2 Pd 2.47, 2 I 2.52
Ru 0.8750 0.8669 0.7500  2 Pd 2.47, 2 I 2.52


Which structure is most stable? *A*, by 490 meV per atom over the runner-up.


*A*
First-principles (PBE) data for PdRuI2 after structural relaxation, as listed in Alexandria via LeMat-Bulk.

Results
size of the total moment	0.0	μB/cell

Cell: 6.2492 6.2492 7.2684 Å, 64.54 64.54 90.00°
Last column: nearest neighbours and their distance in Å.
Sites, in units of the cell vectors:
Pd 0.7500 0.2500 0.5000  4 I 2.70
I 0.3750 0.3912 0.7500  2 Ru 2.58, 2 Pd 2.70
Pd 0.0000 0.0000 0.0000  4 I 2.70
I 0.8750 0.8588 0.7500  2 Ru 2.58, 2 Pd 2.70
Ru 0.5000 0.5000 0.0000  4 I 2.58
Ru 0.2500 0.7500 0.5000  4 I 2.58
I 0.1412 0.6250 0.2500  2 Ru 2.58, 2 Pd 2.70
I 0.6088 0.1250 0.2500  2 Ru 2.58, 2 Pd 2.70


*B*
First-principles (PBE) data for PdRuI2 after structural relaxation, as listed in Alexandria via LeMat-Bulk.

Results
size of the total moment	0.0	μB/cell

Cell: 4.8839 4.8839 4.8839 Å, 60.00 60.00 60.00°
Last column: nearest neighbours and their distance in Å.
Sites, in units of the cell vectors:
I 0.7500 0.7500 0.7500  4 Pd 2.99, 4 Ru 2.99
Pd 0.5000 0.5000 0.5000  8 I 2.99
Ru 0.0000 0.0000 0.0000  8 I 2.99
I 0.2500 0.2500 0.2500  4 Ru 2.99, 4 Pd 2.99


Which structure is most stable? *A*, by 234 meV per atom over the runner-up.


*A*
First-principles (PBE) data for PdRuI3 after structural relaxation, as listed in Alexandria via LeMat-Bulk.

Results
size of the total moment	3.4	μB/cell

Cell: 5.4552 5.4552 5.4552 Å, 90.00 90.00 90.00°
Last column: nearest neighbours and their distance in Å.
Sites, in units of the cell vectors:
Pd 0.0000 0.0000 0.0000  6 I 2.73
I 0.0000 0.5000 0.0000  2 Pd 2.73
Ru 0.5000 0.5000 0.5000  12 I 3.86
I 0.5000 0.0000 0.0000  2 Pd 2.73
I 0.0000 0.0000 0.5000  2 Pd 2.73


*B*
First-principles (PBE) data for PdRuI3 after structural relaxation, as listed in Alexandria via LeMat-Bulk.

Results
size of the total moment	2.2	μB/cell

Cell: 5.4169 5.4169 5.4169 Å, 90.00 90.00 90.00°
Last column: nearest neighbours and their distance in Å.
Sites, in units of the cell vectors:
I 0.0000 0.5000 0.0000  2 Ru 2.71
I 0.5000 0.0000 0.0000  2 Ru 2.71
Ru 0.0000 0.0000 0.0000  6 I 2.71
I 0.0000 0.0000 0.5000  2 Ru 2.71
Pd 0.5000 0.5000 0.5000  12 I 3.83


Which structure is most stable? *B*, by 198 meV per atom over the runner-up.


*A*
First-principles (PBE) data for Pd3RuI after structural relaxation, as listed in Alexandria via LeMat-Bulk.

Results
size of the total moment	2.9	μB/cell

Cell: 4.9153 4.9153 4.9153 Å, 90.00 90.00 90.00°
Last column: nearest neighbours and their distance in Å.
Sites, in units of the cell vectors:
Pd 0.5000 0.0000 0.0000  2 I 2.46
I 0.0000 0.0000 0.0000  6 Pd 2.46
Pd 0.0000 0.0000 0.5000  2 I 2.46
Ru 0.5000 0.5000 0.5000  12 Pd 3.48
Pd 0.0000 0.5000 0.0000  2 I 2.46


*B*
First-principles (PBE) data for Pd3RuI after structural relaxation, as listed in Alexandria via LeMat-Bulk.

Results
size of the total moment	1.4	μB/cell

Cell: 4.8663 4.8663 4.8663 Å, 90.00 90.00 90.00°
Last column: nearest neighbours and their distance in Å.
Sites, in units of the cell vectors:
I 0.5000 0.5000 0.5000  12 Pd 3.44
Pd 0.0000 0.0000 0.5000  2 Ru 2.43
Pd 0.5000 0.0000 0.0000  2 Ru 2.43
Ru 0.0000 0.0000 0.0000  6 Pd 2.43
Pd 0.0000 0.5000 0.0000  2 Ru 2.43


Which structure is most stable? *B*, by 171 meV per atom over the runner-up.